Computed, not measured: a relaxed Pa2MnSi6Ru crystal at the PBE-GGA level of DFT.

Structure (extended XYZ):
```
20
Lattice="2.885 1.666 11.721 -2.885 1.666 11.721 0.000 -3.332 11.721" Properties=species:S:1:pos:R:3 pbc="T T T"
Pa 0.000 0.000 3.726
Pa 0.000 0.000 10.260
Pa 0.000 0.000 24.902
Pa 0.000 0.000 31.437
Mn 0.000 0.000 0.000
Mn 0.000 0.000 17.581
Si -1.698 -0.981 16.335
Si 0.000 -1.420 12.975
Si -1.230 0.710 12.975
Si 0.000 -1.961 18.827
Si -1.698 0.981 18.827
Si -1.230 -0.710 22.187
Si 1.230 0.710 12.975
Si 1.698 -0.981 16.335
Si 0.000 1.961 16.335
Si 1.230 -0.710 22.187
Si 0.000 1.420 22.187
Si 1.698 0.981 18.827
Ru 0.000 0.000 14.922
Ru 0.000 0.000 20.241
```

formation energy from raw total energies	-0.38	eV/atom
total magnetic moment	0.103	μB/atom
symmetry	No. 166
N(E_F)	0.95	states/eV per atom

=====

Computed, not measured: a relaxed PaMnSi2Ru crystal at the PBE-GGA level of DFT.

Structure (extended XYZ):
```
5
Lattice="-2.012 2.012 4.987 2.012 -2.012 4.987 2.012 2.012 -4.987" Properties=species:S:1:pos:R:3 pbc="T T T"
Pa 0.000 0.000 0.000
Mn 2.012 0.000 2.494
Si 0.000 0.000 3.788
Si 0.000 0.000 6.187
Ru 0.000 2.012 2.494
```

formation energy from raw total energies	-0.67	eV/atom
total magnetic moment	0.416	μB/atom
symmetry	No. 119
N(E_F)	1.16	states/eV per atom

=====

Computed, not measured: a relaxed PaMnTcRu crystal at the PBE-GGA level of DFT.

Structure (extended XYZ):
```
4
Lattice="0.000 3.247 3.247 3.247 0.000 3.247 3.247 3.247 0.000" Properties=species:S:1:pos:R:3 pbc="T T T"
Pa 0.000 0.000 0.000
Mn 3.247 3.247 3.247
Tc 1.623 1.623 1.623
Ru 4.870 4.870 4.870
```

total magnetic moment	1.101	μB/atom
energy of formation	-0.1149	eV per atom
symmetry	No. 216
N(E_F)	0.84	states/eV per atom

=====

Computed, not measured: a relaxed PaTiMnRu crystal at the PBE-GGA level of DFT.

Structure (extended XYZ):
```
4
Lattice="0.000 3.225 3.225 3.225 0.000 3.225 3.225 3.225 0.000" Properties=species:S:1:pos:R:3 pbc="T T T"
Pa 0.000 0.000 0.000
Ti 3.225 3.225 3.225
Mn 4.837 4.837 4.837
Ru 1.612 1.612 1.612
```

total magnetic moment	0.000	μB/atom
energy of formation	-0.2060	eV per atom
symmetry	No. 216
N(E_F)	1.11	states/eV per atom

=====

Computed, not measured: a relaxed Pa2MnS4 crystal at the PBE-GGA level of DFT.

Structure (extended XYZ):
```
14
Lattice="6.425 0.000 0.000 0.000 5.804 0.000 -2.181 0.000 7.134" Properties=species:S:1:pos:R:3 pbc="T T T"
Pa 1.400 1.451 0.399
Pa 0.385 1.451 4.057
Pa 3.859 4.353 3.077
Pa 2.844 4.353 6.735
Mn -0.210 4.353 5.747
Mn 4.455 1.451 1.388
S -0.429 2.964 1.845
S -0.429 5.741 1.845
S 2.506 4.353 0.744
S 1.479 4.353 4.342
S 2.765 1.451 2.792
S 1.738 1.451 6.390
S 4.674 0.062 5.289
S 4.674 2.839 5.289
```

formation energy from raw total energies	-1.32	eV/atom
total magnetic moment	0.192	μB/atom
symmetry	No. 11
N(E_F)	1.02	states/eV per atom

=====

Computed, not measured: a relaxed PaMn2S6 crystal at the PBE-GGA level of DFT.

Structure (extended XYZ):
```
9
Lattice="6.120 -2.306 0.000 6.120 2.306 0.000 -4.617 0.000 6.712" Properties=species:S:1:pos:R:3 pbc="T T T"
Pa 0.000 0.000 0.000
Mn -0.579 0.000 3.985
Mn 8.202 0.000 2.726
S -2.833 0.000 4.724
S 1.405 0.000 2.600
S 0.059 0.000 6.206
S 7.563 0.000 0.506
S 6.218 0.000 4.111
S 10.456 0.000 1.988
```

formation energy from raw total energies	-0.84	eV/atom
total magnetic moment	0.783	μB/atom
symmetry	No. 12
N(E_F)	0.23	states/eV per atom

=====

Computed, not measured: a relaxed PaMn3S6 crystal at the PBE-GGA level of DFT.

Structure (extended XYZ):
```
10
Lattice="3.189 1.841 5.856 -3.189 1.841 5.856 0.000 -3.682 5.856" Properties=species:S:1:pos:R:3 pbc="T T T"
Pa 0.000 0.000 0.000
Mn 0.000 0.000 5.461
Mn 0.000 0.000 8.813
Mn 0.000 0.000 14.229
S -1.081 -1.614 7.131
S -2.233 -0.063 9.976
S -0.857 1.743 7.131
S 1.171 -1.902 9.976
S 1.938 -0.130 7.131
S 1.061 1.965 9.976
```

formation energy from raw total energies	-0.85	eV/atom
total magnetic moment	1.405	μB/atom
symmetry	No. 146
N(E_F)	0.36	states/eV per atom

=====

Computed, not measured: a relaxed PaMnS3 crystal at the PBE-GGA level of DFT.

Structure (extended XYZ):
```
20
Lattice="6.873 0.000 0.000 0.000 6.159 0.000 -0.358 0.000 8.319" Properties=species:S:1:pos:R:3 pbc="T T T"
Pa 1.448 1.222 1.255
Pa 1.269 1.857 5.414
Pa 5.246 4.302 2.905
Pa 5.067 4.937 7.064
Mn 2.789 4.560 0.760
Mn 2.610 4.679 4.920
Mn 3.905 1.480 3.399
Mn 3.726 1.600 7.558
S 0.277 4.353 5.186
S 0.456 4.886 1.026
S 2.028 0.188 3.580
S 1.849 2.892 7.739
S 2.636 3.367 2.857
S 2.457 5.871 7.016
S 4.059 0.288 1.302
S 3.880 2.792 5.462
S 4.666 3.267 0.579
S 4.487 5.971 4.739
S 6.060 1.273 7.292
S 6.239 1.806 3.133
```

formation energy from raw total energies	-1.07	eV/atom
total magnetic moment	0.000	μB/atom
symmetry	No. 14
N(E_F)	0.19	states/eV per atom

=====

Computed, not measured: a relaxed Pa6Mn3S14 crystal at the PBE-GGA level of DFT.

Structure (extended XYZ):
```
23
Lattice="9.661 0.000 0.000 -4.831 8.367 0.000 0.000 0.000 5.603" Properties=species:S:1:pos:R:3 pbc="T T T"
Pa -1.956 4.051 0.000
Pa 1.954 1.523 2.812
Pa -0.345 8.036 0.000
Pa 2.301 4.648 0.000
Pa 7.366 0.930 2.812
Pa 5.173 5.914 2.812
Mn 0.000 0.000 0.733
Mn 0.000 5.578 3.550
Mn 4.831 2.789 4.202
S 0.000 0.000 4.060
S -0.249 2.136 1.388
S -2.856 7.514 1.388
S -1.974 6.426 4.194
S 0.253 3.445 4.194
S 0.000 5.578 1.270
S 2.909 1.919 5.513
S 4.605 0.706 2.794
S 3.139 4.026 2.794
S 1.721 6.863 4.194
S 3.105 7.084 1.388
S 6.545 1.560 5.513
S 5.038 4.888 5.513
S 6.748 3.635 2.794
```

formation energy from raw total energies	-1.37	eV/atom
total magnetic moment	0.341	μB/atom
symmetry	No. 143
N(E_F)	0.76	states/eV per atom

=====

Computed, not measured: a relaxed PaMnS6 crystal at the PBE-GGA level of DFT.

Structure (extended XYZ):
```
8
Lattice="5.841 0.000 0.000 2.658 5.223 0.000 2.682 -0.312 5.225" Properties=species:S:1:pos:R:3 pbc="T T T"
Pa 0.000 0.000 0.000
Mn 2.670 2.456 2.613
S 4.200 1.820 4.285
S 4.187 4.167 2.064
S 3.995 1.182 1.260
S 7.186 3.729 3.965
S 6.994 0.744 3.161
S 6.981 3.091 0.940
```

formation energy from raw total energies	-0.63	eV/atom
total magnetic moment	0.245	μB/atom
symmetry	No. 2
N(E_F)	0.51	states/eV per atom

=====

Computed, not measured: a relaxed PaMnS3 crystal at the PBE-GGA level of DFT.

Structure (extended XYZ):
```
20
Lattice="6.813 0.000 0.000 0.000 6.479 0.000 -6.340 0.000 11.724" Properties=species:S:1:pos:R:3 pbc="T T T"
Pa 0.261 0.149 1.989
Pa -2.909 3.090 7.851
Pa 3.382 3.388 3.873
Pa 0.212 6.329 9.735
Mn -0.455 3.900 3.931
Mn -3.625 5.817 9.793
Mn 4.098 0.661 1.931
Mn 0.928 2.578 7.793
S -4.487 1.563 9.452
S -1.317 1.676 3.590
S -1.843 4.388 5.816
S -5.013 5.330 11.678
S -0.972 1.248 7.783
S 2.198 1.992 1.921
S -1.725 4.487 9.803
S 1.445 5.231 3.941
S 5.487 1.149 0.046
S 2.317 2.091 5.908
S 1.790 4.803 8.134
S 4.960 4.915 2.272
```

formation energy from raw total energies	-1.13	eV/atom
total magnetic moment	0.793	μB/atom
symmetry	No. 14
N(E_F)	0.18	states/eV per atom

=====

Computed, not measured: a relaxed Pa2MnS crystal at the PBE-GGA level of DFT.

Structure (extended XYZ):
```
4
Lattice="1.900 1.097 6.769 -1.900 1.097 6.769 0.000 -2.193 6.769" Properties=species:S:1:pos:R:3 pbc="T T T"
Pa 0.000 0.000 4.871
Pa 0.000 0.000 15.436
Mn 0.000 0.000 10.154
S 0.000 0.000 0.000
```

formation energy from raw total energies	-0.65	eV/atom
total magnetic moment	0.000	μB/atom
symmetry	No. 166
N(E_F)	1.27	states/eV per atom

=====

Please write out number 11 again, unchanged.
Computed, not measured: a relaxed PaMnS3 crystal at the PBE-GGA level of DFT.

Structure (extended XYZ):
```
20
Lattice="6.813 0.000 0.000 0.000 6.479 0.000 -6.340 0.000 11.724" Properties=species:S:1:pos:R:3 pbc="T T T"
Pa 0.261 0.149 1.989
Pa -2.909 3.090 7.851
Pa 3.382 3.388 3.873
Pa 0.212 6.329 9.735
Mn -0.455 3.900 3.931
Mn -3.625 5.817 9.793
Mn 4.098 0.661 1.931
Mn 0.928 2.578 7.793
S -4.487 1.563 9.452
S -1.317 1.676 3.590
S -1.843 4.388 5.816
S -5.013 5.330 11.678
S -0.972 1.248 7.783
S 2.198 1.992 1.921
S -1.725 4.487 9.803
S 1.445 5.231 3.941
S 5.487 1.149 0.046
S 2.317 2.091 5.908
S 1.790 4.803 8.134
S 4.960 4.915 2.272
```

formation energy from raw total energies	-1.13	eV/atom
total magnetic moment	0.793	μB/atom
symmetry	No. 14
N(E_F)	0.18	states/eV per atom